No. 1
Entry from the Alexandria database: a geometry-optimized Os2RuC structure (GGA-PBE).

* E: -9.8615 eV/atom
* energy relative to the elements: 0.378 eV/atom

Cell lengths 2.744, 6.597, 6.597 Å; angles 24.30, 90.00, 90.00 degrees
Positions (direct):
Os: 0.000 0.000 0.000
Os: 0.500 0.362 0.362
Ru: 0.000 0.695 0.695
C: 0.500 0.130 0.130

No. 2
Entry from the Alexandria database: a geometry-optimized Os2RuC structure (GGA-PBE).

* E: -9.7508 eV/atom
* energy relative to the elements: 0.489 eV/atom

Cell lengths 4.713, 4.713, 4.579 Å; angles 118.92, 118.92, 34.15 degrees
Positions (direct):
Os: 0.000 0.000 0.000
Os: 0.196 0.196 0.687
Ru: 0.807 0.807 0.295
C: 0.503 0.503 0.344

No. 3
Entry from the Alexandria database: a geometry-optimized Os3RuC structure (GGA-PBE).

* E: -9.8419 eV/atom
* energy relative to the elements: 0.596 eV/atom

Cell lengths 4.034, 4.034, 4.034 Å; angles 90.00, 90.00, 90.00 degrees
Positions (direct):
Os: 0.000 0.000 0.500
Os: 0.000 0.500 0.000
Os: 0.500 0.000 0.000
Ru: 0.500 0.500 0.500
C: 0.000 0.000 0.000

No. 4
Entry from the Alexandria database: a geometry-optimized Os2RuC structure (GGA-PBE).

* E: -9.9734 eV/atom
* energy relative to the elements: 0.266 eV/atom

Cell lengths 2.801, 2.801, 7.141 Å; angles 90.00, 90.00, 120.00 degrees
Positions (direct):
Os: 0.000 0.000 0.000
Os: 0.333 0.667 0.305
Ru: 0.333 0.667 0.691
C: 0.000 0.000 0.498

No. 5
Entry from the Alexandria database: a geometry-optimized Os2RuC structure (GGA-PBE).

* E: -9.7290 eV/atom
* energy relative to the elements: 0.511 eV/atom

Cell lengths 4.907, 4.907, 4.110 Å; angles 105.74, 105.74, 32.71 degrees
Positions (direct):
Os: 0.000 0.000 0.000
Os: 0.703 0.703 0.801
Ru: 0.323 0.323 0.373
C: 0.536 0.536 0.375

No. 6
Entry from the Alexandria database: a geometry-optimized Os2RuC structure (GGA-PBE).

* E: -9.8793 eV/atom
* energy relative to the elements: 0.360 eV/atom

Cell lengths 2.786, 2.786, 7.245 Å; angles 90.00, 90.00, 120.00 degrees
Positions (direct):
Os: 0.000 0.000 0.000
Os: 0.333 0.667 0.692
Ru: 0.000 0.000 0.385
C: 0.667 0.333 0.192

No. 7
Entry from the Alexandria database: a geometry-optimized OsRuC2S structure (GGA-PBE).

* E: -6.0861 eV/atom
* formation energy without anion corrections: 2.530 eV/atom

Cell lengths 3.646, 3.646, 4.640 Å; angles 90.00, 90.00, 90.00 degrees
Positions (direct):
Os: 0.000 0.000 0.000
Ru: 0.500 0.500 0.000
C: 0.000 0.500 0.500
C: 0.500 0.000 0.500
S: 0.000 0.000 0.500

No. 8
Entry from the Alexandria database: a geometry-optimized Os2RuCS structure (GGA-PBE).

* E: -6.7579 eV/atom
* formation energy without anion corrections: 2.259 eV/atom

Cell lengths 4.310, 4.310, 4.304 Å; angles 90.00, 90.00, 90.00 degrees
Positions (direct):
Os: 0.000 0.500 0.000
Os: 0.500 0.000 0.000
Ru: 0.000 0.000 0.500
C: 0.500 0.500 0.500
S: 0.000 0.000 0.000